HfNb2Ag | PBE-GGA | optimized geometry

Cell: 6.684 6.684 6.684 Å, 90.00 90.00 90.00°
Space group F-43m (No. 216)
Symmetry-distinct sites (fractional):
Hf  0.000  0.000  0.000 (multiplicity 4)
Nb  0.000  0.000  0.500 (multiplicity 4)
Nb  0.250  0.250  0.750 (multiplicity 4)
Ag  0.250  0.250  0.250 (multiplicity 4)

## Properties
Uncorrected energy, eV per formula unit: -32.4
Formation enthalpy at 0 K, eV per formula unit: 0.6

---

HfNbAg2 | PBE-GGA | optimized geometry

Cell: 6.701 6.701 6.701 Å, 90.00 90.00 90.00°
Space group F-43m (No. 216)
Symmetry-distinct sites (fractional):
Hf  0.000  0.000  0.000 (multiplicity 4)
Nb  0.250  0.250  0.750 (multiplicity 4)
Ag  0.000  0.000  0.500 (multiplicity 4)
Ag  0.250  0.250  0.250 (multiplicity 4)

## Properties
Uncorrected energy, eV per formula unit: -24.2
Formation enthalpy at 0 K, eV per formula unit: 1.5

---

HfNbAg2S6 | PBE-GGA | optimized geometry

Cell: 9.756 9.756 9.756 Å, 90.00 90.00 90.00°
Space group Fm-3m (No. 225)
Symmetry-distinct sites (fractional):
Hf  0.000  0.000  0.000 (multiplicity 4)
Nb  0.000  0.000  0.500 (multiplicity 4)
Ag  0.250  0.250  0.250 (multiplicity 8)
S  0.000  0.000  0.253 (multiplicity 24)

## Properties
Uncorrected energy, eV per formula unit: -53.8

---

Hf2Ni3Ag | PBE-GGA | optimized geometry

Cell: 3.295 3.295 8.462 Å, 90.00 90.00 90.00°
Space group P4mm (No. 99)
Symmetry-distinct sites (fractional):
Hf  0.000  0.000  0.000 (multiplicity 1)
Hf  0.500  0.500  0.460 (multiplicity 1)
Ni  0.000  0.000  0.318 (multiplicity 1)
Ni  0.500  0.500  0.154 (multiplicity 1)
Ni  0.500  0.500  0.840 (multiplicity 1)
Ag  0.000  0.000  0.663 (multiplicity 1)

## Properties
Uncorrected energy, eV per formula unit: -41.6
Formation enthalpy at 0 K, eV per formula unit: -2.2

---

> Which of these has the highest uncorrected energy?

HfNbAg2

---

Copy entry 4 word for word.
Hf2Ni3Ag | PBE-GGA | optimized geometry

Cell: 3.295 3.295 8.462 Å, 90.00 90.00 90.00°
Space group P4mm (No. 99)
Symmetry-distinct sites (fractional):
Hf  0.000  0.000  0.000 (multiplicity 1)
Hf  0.500  0.500  0.460 (multiplicity 1)
Ni  0.000  0.000  0.318 (multiplicity 1)
Ni  0.500  0.500  0.154 (multiplicity 1)
Ni  0.500  0.500  0.840 (multiplicity 1)
Ag  0.000  0.000  0.663 (multiplicity 1)

## Properties
Uncorrected energy, eV per formula unit: -41.6
Formation enthalpy at 0 K, eV per formula unit: -2.2

---

> Which formula does entry 1 have?

HfNb2Ag

---

> What is the uncorrected energy in the first record?

-32.4 eV per formula unit